VASP calculation (PBE) on a relaxed structure of NaIn2Br2Cl.

Unit cell a=6.5595 b=6.5966 c=10.1071 alpha=109.05 beta=90.00 gamma=90.00
With the nearest neighbours (Å) after each atom.
Sites, in units of the cell vectors:
Na (0.2949, 0.7967, 0.0000)  2 Cl 2.81, 2 Br 2.87
Na (0.7949, 0.2033, 0.0000)  2 Cl 2.81, 2 Br 2.87
In (0.7400, 0.9124, 0.3160)  1 Cl 3.03, 4 Br 3.23-3.38
In (0.7400, 0.5964, 0.6840)  1 Cl 3.03, 4 Br 3.23-3.38
In (0.2400, 0.4036, 0.3160)  1 Cl 3.03, 4 Br 3.23-3.38
In (0.2400, 0.0876, 0.6840)  1 Cl 3.03, 4 Br 3.23-3.38
Br (0.2375, 0.8817, 0.2946)  1 Na 2.87
Br (0.2375, 0.5871, 0.7054)  1 Na 2.87
Br (0.7375, 0.1183, 0.7054)  1 Na 2.87
Br (0.7375, 0.4129, 0.2946)  1 Na 2.87
Cl (0.7234, 0.7836, 0.0000)  2 Na 2.81, 2 In 3.03
Cl (0.2234, 0.2164, 0.0000)  2 Na 2.81, 2 In 3.03

Properties
- total magnetic moment (μB per cell) = 0.00
- space-group type = Cmc2_1
- density of states at the Fermi level (states/eV/cell) = 0.0
- ΔE_f (raw) (eV/atom) = -0.996

VASP calculation (PBE) on a relaxed structure of NaInBrCl2.

Unit cell a=5.3731 b=5.3731 c=5.7208 alpha=90.00 beta=90.00 gamma=90.00
With the nearest neighbours (Å) after each atom.
Sites, in units of the cell vectors:
Na (0.5000, 0.5000, 0.5000)  4 Br 3.80, 8 Cl 3.92
Cl (0.0000, 0.5000, 0.0000)  2 In 2.69
Cl (0.5000, 0.0000, 0.0000)  2 In 2.69
Br (0.0000, 0.0000, 0.5000)  2 In 2.86
In (0.0000, 0.0000, 0.0000)  4 Cl 2.69, 2 Br 2.86

Properties
- total magnetic moment (μB per cell) = 0.00
- space-group type = P4/mmm
- density of states at the Fermi level (states/eV/cell) = 1.4
- ΔE_f (raw) (eV/atom) = -1.051

VASP calculation (PBE) on a relaxed structure of NaInBrCl.

Unit cell a=5.4009 b=5.4009 c=5.4009 alpha=60.00 beta=60.00 gamma=60.00
With the nearest neighbours (Å) after each atom.
Sites, in units of the cell vectors:
Na (0.5000, 0.5000, 0.5000)  4 Br 3.31, 4 Cl 3.31
Cl (0.2500, 0.2500, 0.2500)  4 Na 3.31, 4 In 3.31
Br (0.7500, 0.7500, 0.7500)  4 Na 3.31, 4 In 3.31
In (0.0000, 0.0000, 0.0000)  4 Cl 3.31, 4 Br 3.31

Properties
- E above lowest polymorph (meV per atom) = 108.9
- total magnetic moment (μB per cell) = 0.00
- space-group type = F-43m
- density of states at the Fermi level (states/eV/cell) = 0.0
- ΔE_f (raw) (eV/atom) = -1.064

VASP calculation (PBE) on a relaxed structure of NaInBrCl.

Unit cell a=4.2441 b=4.2452 c=8.0256 alpha=89.99 beta=105.30 gamma=120.06
With the nearest neighbours (Å) after each atom.
Sites, in units of the cell vectors:
Na (0.3155, 0.5560, 0.8866)  3 Cl 2.85, 3 Br 3.06
In (0.9648, 0.3799, 0.3602)  3 Cl 3.27, 3 Br 3.28-3.29
Br (0.4886, 0.1424, 0.6463)  3 Na 3.06, 3 In 3.28-3.29
Cl (0.1090, 0.9525, 0.0766)  3 Na 2.85

Properties
- E above lowest polymorph (meV per atom) = 0.0
- total magnetic moment (μB per cell) = 0.00
- space-group type = R3m
- density of states at the Fermi level (states/eV/cell) = 0.0
- ΔE_f (raw) (eV/atom) = -1.173

VASP calculation (PBE) on a relaxed structure of In2PBrCl.

Unit cell a=6.2532 b=4.8219 c=6.2532 alpha=90.00 beta=90.00 gamma=90.00
With the nearest neighbours (Å) after each atom.
Sites, in units of the cell vectors:
P (0.0000, 0.5000, 0.0000)  2 Br 2.41
Cl (0.5000, 0.5000, 0.5000)  8 In 3.95, 4 P 4.42
Br (0.0000, 0.0000, 0.0000)  2 P 2.41
In (0.0000, 0.0000, 0.5000)  2 Br 3.13
In (0.5000, 0.0000, 0.0000)  2 Br 3.13

Properties
- total magnetic moment (μB per cell) = 0.00
- space-group type = P4/mmm
- density of states at the Fermi level (states/eV/cell) = 2.4
- ΔE_f (raw) (eV/atom) = 0.270

VASP calculation (PBE) on a relaxed structure of PaIn3Br6Cl2.

Unit cell a=6.7949 b=9.0019 c=9.5328 alpha=118.17 beta=99.63 gamma=90.00
With the nearest neighbours (Å) after each atom.
Sites, in units of the cell vectors:
Pa (0.5000, 0.0000, 0.0000)  6 Br 2.73
In (0.0000, 0.5000, 0.0000)  2 Cl 2.95
In (0.5000, 0.5000, 0.5000)  2 Cl 2.99
In (0.5000, 0.0000, 0.5000)  2 Cl 2.99
Br (0.7296, 0.3020, 0.1738)  1 Pa 2.73
Br (0.2704, 0.6980, 0.8262)  1 Pa 2.73
Br (0.7364, 0.8853, 0.7706)  1 Pa 2.73
Br (0.2636, 0.1147, 0.2294)  1 Pa 2.73
Br (0.2704, 0.1282, 0.8262)  1 Pa 2.73
Br (0.7296, 0.8718, 0.1738)  1 Pa 2.73
Cl (0.2666, 0.6607, 0.3213)  3 In 2.95-2.99
Cl (0.7334, 0.3393, 0.6787)  3 In 2.95-2.99

Properties
- total magnetic moment (μB per cell) = 0.08
- space-group type = C2/m
- density of states at the Fermi level (states/eV/cell) = 0.2
- ΔE_f (raw) (eV/atom) = -1.080

VASP calculation (PBE) on a relaxed structure of PaIn2Br4Cl2.

Unit cell a=7.1247 b=7.8190 c=7.8190 alpha=60.98 beta=74.23 gamma=74.23
With the nearest neighbours (Å) after each atom.
Sites, in units of the cell vectors:
Pa (0.5000, 0.0000, 0.0000)  2 Cl 2.62, 4 Br 2.83
In (0.2887, 0.7238, 0.7238)  4 Br 3.22-3.42, 1 Cl 3.26
In (0.7113, 0.2762, 0.2762)  4 Br 3.22-3.42, 1 Cl 3.26
Br (0.3232, 0.6591, 0.1541)  1 Pa 2.83
Br (0.6768, 0.8459, 0.3409)  1 Pa 2.83
Br (0.6768, 0.3409, 0.8459)  1 Pa 2.83
Br (0.3232, 0.1541, 0.6591)  1 Pa 2.83
Cl (0.1909, 0.1690, 0.1690)  1 Pa 2.62
Cl (0.8091, 0.8310, 0.8310)  1 Pa 2.62

Properties
- total magnetic moment (μB per cell) = 1.01
- space-group type = C2/m
- density of states at the Fermi level (states/eV/cell) = 0.3
- ΔE_f (raw) (eV/atom) = -1.233

VASP calculation (PBE) on a relaxed structure of InPb2BrCl4.

Unit cell a=4.1067 b=7.9841 c=9.1153 alpha=71.32 beta=76.98 gamma=75.10
With the nearest neighbours (Å) after each atom.
Sites, in units of the cell vectors:
In (0.0000, 0.0000, 0.0000)  6 Cl 3.12-3.25
Pb (0.8258, 0.6079, 0.7406)  5 Cl 2.85-3.09
Pb (0.1742, 0.3921, 0.2594)  5 Cl 2.85-3.09
Br (0.5000, 0.5000, 0.5000)  4 Pb 3.24
Cl (0.2154, 0.8731, 0.6961)  2 Pb 2.85, 1 In 3.12
Cl (0.3625, 0.3390, 0.9360)  3 Pb 3.01-3.09, 2 In 3.25
Cl (0.7846, 0.1269, 0.3039)  2 Pb 2.85, 1 In 3.12
Cl (0.6375, 0.6610, 0.0640)  3 Pb 3.01-3.09, 2 In 3.25

Properties
- total magnetic moment (μB per cell) = 0.00
- space-group type = C2/m
- density of states at the Fermi level (states/eV/cell) = 0.0
- ΔE_f (raw) (eV/atom) = -0.999

VASP calculation (PBE) on a relaxed structure of InPbBr4Cl.

Unit cell a=7.9788 b=7.9788 c=10.7044 alpha=76.29 beta=76.29 gamma=71.46
With the nearest neighbours (Å) after each atom.
Sites, in units of the cell vectors:
In (0.6566, 0.6566, 0.7287)  4 Br 2.48-2.63
In (0.3434, 0.3434, 0.2713)  4 Br 2.48-2.63
Pb (0.1656, 0.1656, 0.9803)  2 Cl 2.68-2.81
Pb (0.8344, 0.8344, 0.0197)  2 Cl 2.68-2.81
Br (0.2804, 0.2804, 0.5131)  1 In 2.48
Br (0.7196, 0.7196, 0.4869)  1 In 2.48
Br (0.0428, 0.4533, 0.1777)  1 In 2.63
Br (0.5436, 0.5436, 0.1648)  1 In 2.51
Br (0.5467, 0.9572, 0.8223)  1 In 2.63
Br (0.4533, 0.0428, 0.1777)  1 In 2.63
Br (0.4564, 0.4564, 0.8352)  1 In 2.51
Br (0.9572, 0.5467, 0.8223)  1 In 2.63
Cl (0.9780, 0.9780, 0.1719)  2 Pb 2.68-2.81
Cl (0.0220, 0.0220, 0.8281)  2 Pb 2.68-2.81

Properties
- total magnetic moment (μB per cell) = 0.00
- space-group type = C2/m
- density of states at the Fermi level (states/eV/cell) = 0.0
- ΔE_f (raw) (eV/atom) = -0.855

VASP calculation (PBE) on a relaxed structure of In5PbBr4Cl2.

Unit cell a=5.8653 b=7.0907 c=11.6218 alpha=90.00 beta=90.00 gamma=114.43
With the nearest neighbours (Å) after each atom.
Sites, in units of the cell vectors:
In (0.1602, 0.4345, 0.2687)  1 Cl 2.87, 2 In 3.05, 1 Br 3.21
In (0.4080, 0.0000, 0.5000)  2 Cl 2.96
In (0.1602, 0.4345, 0.7313)  1 Cl 2.87, 2 In 3.05, 1 Br 3.21
In (0.7258, 0.5655, 0.7313)  1 Cl 2.87, 2 In 3.05, 1 Br 3.21
In (0.7258, 0.5655, 0.2687)  1 Cl 2.87, 2 In 3.05, 1 Br 3.21
Pb (0.5046, 0.0000, 0.0000)  4 Br 2.83-3.05
Br (0.6808, 0.0000, 0.2472)  1 Pb 3.05, 3 In 3.21-3.35
Br (0.6808, 0.0000, 0.7528)  1 Pb 3.05, 3 In 3.21-3.35
Br (0.3073, 0.3035, 0.0000)  1 Pb 2.83
Br (0.0038, 0.6965, 0.0000)  1 Pb 2.83
Cl (0.8751, 0.7020, 0.5000)  3 In 2.87-2.96
Cl (0.1732, 0.2980, 0.5000)  3 In 2.87-2.96

Properties
- total magnetic moment (μB per cell) = 0.00
- space-group type = Amm2
- density of states at the Fermi level (states/eV/cell) = 1.4
- ΔE_f (raw) (eV/atom) = -0.601

VASP calculation (PBE) on a relaxed structure of PmIn2Br3Cl3.

Unit cell a=4.0729 b=8.3102 c=8.3102 alpha=120.00 beta=90.00 gamma=90.00
With the nearest neighbours (Å) after each atom.
Sites, in units of the cell vectors:
Pm (0.0000, 0.0000, 0.0000)  6 Cl 2.81
In (0.5000, 0.3333, 0.6667)  6 Br 3.24, 3 Cl 3.26
In (0.5000, 0.6667, 0.3333)  6 Br 3.24, 3 Cl 3.26
Br (0.0000, 0.0000, 0.4095)  4 In 3.24, 1 Pm 3.40, 6 Cl 3.59-3.60
Br (0.0000, 0.5905, 0.5905)  4 In 3.24, 1 Pm 3.40, 6 Cl 3.59-3.60
Br (0.0000, 0.4095, 0.0000)  4 In 3.24, 1 Pm 3.40, 6 Cl 3.59-3.60
Cl (0.5000, 0.7664, 0.0000)  2 Pm 2.81
Cl (0.5000, 0.2336, 0.2336)  2 Pm 2.81
Cl (0.5000, 0.0000, 0.7664)  2 Pm 2.81

Properties
- total magnetic moment (μB per cell) = 0.00
- space-group type = P-62m
- density of states at the Fermi level (states/eV/cell) = 3.5
- ΔE_f (raw) (eV/atom) = -1.302

VASP calculation (PBE) on a relaxed structure of RbInPtBrCl.

Unit cell a=6.0313 b=4.2995 c=6.3446 alpha=90.00 beta=90.89 gamma=90.00
With the nearest neighbours (Å) after each atom.
Sites, in units of the cell vectors:
Cl (0.8496, 0.0000, 0.8687)  1 Pt 2.32
Br (0.3750, 0.0000, 0.3214)  1 Pt 2.46
Rb (0.8559, 0.5000, 0.2794)  2 Cl 3.38, 2 Pt 3.56, 2 Br 3.62
Pt (0.1444, 0.0000, 0.6376)  1 Cl 2.32, 1 Br 2.46
In (0.3574, 0.5000, 0.8166)  2 Pt 2.74

Properties
- E above lowest polymorph (meV per atom) = 96.8
- total magnetic moment (μB per cell) = 0.00
- space-group type = Pm
- ΔE_f (raw) (eV/atom) = -0.787